[1]
## TiBiSe3 (PBE-GGA)

Data for a geometry-optimized TiBiSe3 structure.

Lattice parameters (Å, degrees): 6.070 6.771 7.170 112.75 103.01 91.96
Fractional coordinates of all 10 atoms:
Ti 0.000 0.000 0.000
Ti 0.500 0.000 0.000
Bi 0.120 0.601 0.368
Bi 0.880 0.399 0.632
Se 0.193 0.066 0.741
Se 0.231 0.675 0.979
Se 0.344 0.228 0.314
Se 0.656 0.772 0.686
Se 0.769 0.325 0.021
Se 0.807 0.934 0.259

Properties
For the spin magnetization, the calculation gives 0.000 μB per formula unit. The volume comes out at 26.23 Å³/atom. Its polymorph energy (0 for the lowest one) is 0.01 eV/f.u. As for the uncorrected formation energy: -335 kJ/mol of formula units. The space group is P-1.

[2]
## TiBiSe3 (PBE-GGA)

Data for a geometry-optimized TiBiSe3 structure.

Lattice parameters (Å, degrees): 6.614 6.862 7.131 101.11 103.73 112.76
Fractional coordinates of all 10 atoms:
Ti 0.000 0.000 0.000
Ti 0.175 0.523 0.993
Bi 0.444 0.119 0.678
Bi 0.517 0.547 0.537
Se 0.012 0.707 0.727
Se 0.019 0.336 0.243
Se 0.185 0.856 0.239
Se 0.425 0.319 0.060
Se 0.555 0.793 0.924
Se 0.895 0.173 0.702

Properties
For the spin magnetization, the calculation gives 0.000 μB per formula unit. The volume comes out at 27.49 Å³/atom. Its polymorph energy (0 for the lowest one) is 0.21 eV/f.u. As for the uncorrected formation energy: -316 kJ/mol of formula units. The space group is P1.

[3]
## TiBi2Se (PBE-GGA)

Data for a geometry-optimized TiBi2Se structure.

Lattice parameters (Å, degrees): 8.503 8.503 8.503 136.49 136.49 63.22
Fractional coordinates of all 8 atoms:
Ti 0.000 0.000 0.000
Ti 0.750 0.250 0.500
Bi 0.101 0.625 0.976
Bi 0.375 0.351 0.476
Bi 0.649 0.125 0.024
Bi 0.875 0.899 0.524
Se 0.250 0.750 0.500
Se 0.500 0.500 0.000

Properties
For the spin magnetization, the calculation gives 1.307 μB per formula unit. The volume comes out at 35.95 Å³/atom. As for the uncorrected formation energy: 152 kJ/mol of formula units. The space group is I-42d.

[4]
## TiBiSe3 (PBE-GGA)

Data for a geometry-optimized TiBiSe3 structure.

Lattice parameters (Å, degrees): 3.371 6.371 7.139 83.62 89.22 76.74
Fractional coordinates of all 5 atoms:
Ti 0.000 0.000 0.000
Bi 0.528 0.839 0.591
Se 0.393 0.208 0.760
Se 0.403 0.133 0.232
Se 0.607 0.684 0.989

Properties
For the spin magnetization, the calculation gives 0.000 μB per formula unit. The volume comes out at 29.66 Å³/atom. Its polymorph energy (0 for the lowest one) is 0.00 eV/f.u. As for the uncorrected formation energy: -336 kJ/mol of formula units. The space group is P1.

[5]
## Ti6Bi3Se (PBE-GGA)

Data for a geometry-optimized Ti6Bi3Se structure.

Lattice parameters (Å, degrees): 8.261 8.261 6.706 90.00 90.00 105.37
Fractional coordinates of all 20 atoms:
Ti 0.034 0.966 0.500
Ti 0.062 0.595 0.456
Ti 0.245 0.755 0.891
Ti 0.278 0.427 0.935
Ti 0.405 0.938 0.456
Ti 0.427 0.278 0.435
Ti 0.573 0.722 0.935
Ti 0.595 0.062 0.956
Ti 0.722 0.573 0.435
Ti 0.755 0.245 0.391
Ti 0.938 0.405 0.956
Ti 0.966 0.034 0.000
Bi 0.106 0.291 0.287
Bi 0.291 0.106 0.787
Bi 0.398 0.602 0.576
Bi 0.602 0.398 0.076
Bi 0.709 0.894 0.287
Bi 0.894 0.709 0.787
Se 0.152 0.848 0.217
Se 0.848 0.152 0.717

Properties
For the spin magnetization, the calculation gives 0.002 μB per formula unit. The volume comes out at 22.06 Å³/atom. Its polymorph energy (0 for the lowest one) is 1.17 eV/f.u. As for the uncorrected formation energy: -119 kJ/mol of formula units. The space group is Cmc2_1.

[6]
## TiBiSe3 (PBE-GGA)

Data for a geometry-optimized TiBiSe3 structure.

Lattice parameters (Å, degrees): 3.387 6.316 7.408 69.28 89.12 88.63
Fractional coordinates of all 5 atoms:
Ti 0.000 0.000 0.000
Bi 0.455 0.390 0.346
Se 0.459 0.272 0.779
Se 0.472 0.984 0.275
Se 0.491 0.709 0.963

Properties
For the spin magnetization, the calculation gives 0.000 μB per formula unit. The volume comes out at 29.63 Å³/atom. Its polymorph energy (0 for the lowest one) is 0.17 eV/f.u. As for the uncorrected formation energy: -320 kJ/mol of formula units. The space group is P1.

Among the records above, which one has the highest spin magnetization?
TiBi2Se

What is the formula in the fifth record?
Ti6Bi3Se